No. 1
InNiP2S, relaxed, DFT PBE; distance to the lowest polymorph of the same formula = 0 meV per atom; ΔE_f (raw) = 0.402 eV per atom
1.0
4.373 0.000 0.000
0.000 4.373 0.000
0.000 0.000 4.814
In Ni S P
1 1 1 2
direct
0.500 0.500 0.500
0.000 0.000 0.000
0.000 0.000 0.500
0.500 0.000 0.000
0.000 0.500 0.000

***

No. 2
InNi2PS, relaxed, DFT PBE; ΔE_f (raw) = 1.450 eV per atom
1.0
-2.854 -0.971 -3.692
-0.644 -4.520 1.687
-3.766 1.478 2.521
Ni In S P
2 1 1 1
direct
0.000 0.000 0.500
0.500 0.000 0.000
0.000 0.000 0.000
0.500 0.500 0.500
0.000 0.500 0.000

***

No. 3
SrInNi4P2, relaxed, DFT PBE; final energy = -5.277 eV/atom
1.0
3.777 0.000 0.000
0.000 3.777 0.000
0.000 0.000 9.559
P Ni In Sr
2 4 1 1
direct
0.500 0.500 0.313
0.500 0.500 0.687
0.500 0.000 0.200
0.000 0.500 0.200
0.000 0.500 0.800
0.500 0.000 0.800
0.000 0.000 0.000
0.000 0.000 0.500

***

No. 4
Tm2InNi12P3, relaxed, DFT PBE; final energy = -5.459 eV/atom
1.0
7.131 -0.218 -0.155
3.332 6.309 -0.155
3.332 1.940 6.005
Ni In P Tm
12 1 3 2
direct
0.105 0.656 0.656
0.656 0.656 0.105
0.586 0.147 0.147
0.853 0.853 0.414
0.344 0.895 0.344
0.147 0.586 0.147
0.147 0.147 0.586
0.344 0.344 0.895
0.656 0.105 0.656
0.414 0.853 0.853
0.895 0.344 0.344
0.853 0.414 0.853
0.000 0.000 0.000
0.000 0.000 0.500
0.000 0.500 0.000
0.500 0.000 0.000
0.403 0.403 0.403
0.597 0.597 0.597